Here is crystalline Ce2Pa2Ru5 at its relaxed geometry from the Alexandria database. Energies are from PBE.

## Properties
Energy, eV per atom: -8.84
Size of the total moment, μB per formula unit: 0.00
SG: C2/m
Calculated formation energy, eV per atom: -0.259

Lattice parameters (Å, degrees): 5.137 6.920 7.423 124.59 90.00 111.79
Element x y z (fractional)
1 Ru 0.884 0.768 0.524
2 Ru 0.349 0.698 0.939
3 Ru 0.116 0.232 0.476
4 Ru 0.651 0.302 0.061
5 Ru 0.000 0.000 0.000
6 Pa 0.854 0.707 0.115
7 Pa 0.146 0.293 0.885
8 Ce 0.639 0.278 0.465
9 Ce 0.361 0.722 0.535